Record 1
The following is a DFT calculation (PBE) of a relaxed structure of Ac3Nd4Tl.

Properties
D(E_F) (states/eV/cell): 11.41
Formation enthalpy at 0 K (eV/atom): -0.0750
Calculated volume (Å³ per atom): 37.0
Density (Mg/m³): 8.2

Cell: 3.850 3.850 19.988 Å, 90.00 90.00 90.00°
Space group P4/mmm (No. 123)
One atom of each set of equivalent atoms:
Ac: 0.000 0.000 0.000 x1
Ac: 0.000 0.000 0.267 x2
Nd: 0.500 0.500 0.133 x2
Nd: 0.500 0.500 0.398 x2
Tl: 0.000 0.000 0.500 x1

Record 2
The following is a DFT calculation (PBE) of a relaxed structure of BaLi2MgAg4.

Properties
D(E_F) (states/eV/cell): 12.05
Formation enthalpy at 0 K (eV/atom): -0.1866
Calculated volume (Å³ per atom): 22.9
Density (Mg/m³): 5.5

Cell: 4.6155 4.6155 29.7604 Å, 90.00 90.00 120.00°
Space group R-3m (No. 166, hexagonal axes)
One atom of each set of equivalent atoms:
Ba: 0.0000 0.0000 0.0000 x3
Li: 0.0000 0.0000 0.2279 x6
Mg: 0.0000 0.0000 0.5000 x3
Ag: 0.0000 0.0000 0.1272 x6
Ag: 0.0000 0.0000 0.4091 x6

Record 3
The following is a DFT calculation (PBE) of a relaxed structure of TeOs2Pb.

Properties
D(E_F) (states/eV/cell): 2.37
Calculated volume (Å³ per atom): 18.7
Uncorrected formation energy (meV/atom): 1036
Density (Mg/m³): 15.9

Cell: 4.740 4.740 3.325 Å, 90.00 90.00 90.00°
Space group P4/mmm (No. 123)
One atom of each set of equivalent atoms:
Te: 0.000 0.000 0.000 x1
Os: 0.000 0.500 0.500 x2
Pb: 0.500 0.500 0.000 x1